Run a
5
Lattice="4.564 0.000 0.000 0.000 4.564 0.000 0.000 0.000 4.564" Properties=species:S:1:pos:R:3 comment="LaGe3N PBE optimized geometry" magnetic_moment_mub_per_atom=0.016 pbc="T T T"
La 0.000 0.000 0.000
Ge 0.000 2.282 2.282
Ge 2.282 0.000 2.282
Ge 2.282 2.282 0.000
N 2.282 2.282 2.282

***

Run b
5
Lattice="5.780 0.000 0.000 0.000 5.780 0.000 0.000 0.000 5.780" Properties=species:S:1:pos:R:3 comment="LaGe3N PBE optimized geometry" magnetic_moment_mub_per_atom=0.588 pbc="T T T"
La 0.000 0.000 0.000
Ge 0.000 0.000 2.890
Ge 0.000 2.890 0.000
Ge 2.890 0.000 0.000
N 2.890 2.890 2.890

***

Decreasing stability: run a, run b

***

Run a
5
Lattice="4.043 0.000 0.000 0.000 4.043 0.000 0.000 0.000 4.952" Properties=species:S:1:pos:R:3 comment="LaReGeN2 PBE optimized geometry" magnetic_moment_mub_per_atom=0.000 pbc="T T T"
La 0.000 0.000 0.000
Re 2.021 2.021 2.476
Ge 2.021 2.021 0.000
N 0.000 2.021 2.476
N 2.021 0.000 2.476

***

Run b
5
Lattice="4.138 0.000 0.000 0.000 4.138 0.000 0.000 0.000 4.743" Properties=species:S:1:pos:R:3 comment="LaReGeN2 PBE optimized geometry" magnetic_moment_mub_per_atom=0.000 pbc="T T T"
La 0.000 0.000 0.000
Re 2.069 2.069 0.000
Ge 2.069 2.069 2.371
N 0.000 2.069 2.371
N 2.069 0.000 2.371

***

Decreasing stability: run a, run b

***

Run a
5
Lattice="4.802 0.000 0.000 0.000 4.802 0.000 0.000 0.000 5.913" Properties=species:S:1:pos:R:3 comment="LaGeRu2N PBE optimized geometry" magnetic_moment_mub_per_atom=0.675 pbc="T T T"
La 0.000 0.000 0.000
Ge 0.000 0.000 2.956
Ru 0.000 2.401 0.000
Ru 2.401 0.000 0.000
N 2.401 2.401 2.956

***

Run b
10
Lattice="1.986 -5.699 0.000 1.986 5.699 0.000 0.000 0.000 7.329" Properties=species:S:1:pos:R:3 comment="LaGeRu2N PBE optimized geometry" magnetic_moment_mub_per_atom=0.000 pbc="T T T"
La 1.986 5.135 5.497
La 1.986 -5.135 1.832
Ge 1.986 3.093 1.832
Ge 1.986 -3.093 5.497
Ru 1.986 1.842 4.065
Ru 1.986 1.842 6.928
Ru 1.986 -1.842 0.401
Ru 1.986 -1.842 3.264
N 1.986 0.000 0.000
N 1.986 0.000 3.664

***

Decreasing stability: run b, run a

***

Run a
5
Lattice="4.909 0.000 0.000 0.000 4.909 0.000 0.000 0.000 3.771" Properties=species:S:1:pos:R:3 comment="LaGeS2N PBE optimized geometry" magnetic_moment_mub_per_atom=0.000 pbc="T T T"
La 0.000 0.000 0.000
Ge 2.455 2.455 1.886
S 0.000 2.455 1.886
S 2.455 0.000 1.886
N 2.455 2.455 0.000

***

Run b
5
Lattice="5.553 0.000 0.000 0.000 5.553 0.000 0.000 0.000 4.295" Properties=species:S:1:pos:R:3 comment="LaGeS2N PBE optimized geometry" magnetic_moment_mub_per_atom=0.237 pbc="T T T"
La 0.000 0.000 0.000
Ge 2.776 2.776 2.148
S 0.000 2.776 0.000
S 2.776 0.000 0.000
N 0.000 0.000 2.148

***

Decreasing stability: run a, run b

***

Run a
5
Lattice="4.994 0.000 0.000 0.000 4.994 0.000 0.000 0.000 4.994" Properties=species:S:1:pos:R:3 comment="NaLaGe3 PBE optimized geometry" magnetic_moment_mub_per_atom=0.000 pbc="T T T"
Na 0.000 0.000 0.000
La 2.497 2.497 2.497
Ge 0.000 0.000 2.497
Ge 0.000 2.497 0.000
Ge 2.497 0.000 0.000

***

Run b
5
Lattice="5.720 0.000 0.000 0.000 5.720 0.000 0.000 0.000 5.720" Properties=species:S:1:pos:R:3 comment="NaLaGe3 PBE optimized geometry" magnetic_moment_mub_per_atom=0.000 pbc="T T T"
Na 0.000 0.000 0.000
La 2.860 2.860 2.860
Ge 0.000 2.860 2.860
Ge 2.860 0.000 2.860
Ge 2.860 2.860 0.000

***

Decreasing stability: run a, run b

***

Run a
5
Lattice="-2.078 2.078 5.791 2.078 -2.078 5.791 2.078 2.078 -5.791" Properties=species:S:1:pos:R:3 comment="LaNbGe2Ru PBE optimized geometry" magnetic_moment_mub_per_atom=0.000 pbc="T T T"
La 0.000 0.000 0.000
Nb 0.000 2.078 2.895
Ge 0.000 0.000 4.462
Ge 0.000 0.000 7.119
Ru 2.078 0.000 2.895

***

Run b
5
Lattice="4.971 0.000 0.000 0.000 4.971 0.000 0.000 0.000 5.347" Properties=species:S:1:pos:R:3 comment="LaNbGe2Ru PBE optimized geometry" magnetic_moment_mub_per_atom=0.508 pbc="T T T"
La 0.000 0.000 0.000
Nb 0.000 0.000 2.673
Ge 0.000 2.485 2.673
Ge 2.485 0.000 2.673
Ru 2.485 2.485 0.000

***

Decreasing stability: run a, run b

***

Run a
12
Lattice="9.045 -2.264 0.000 9.045 2.264 0.000 -4.355 0.000 8.745" Properties=species:S:1:pos:R:3 comment="La3NdGe2 PBE optimized geometry" magnetic_moment_mub_per_atom=0.001 pbc="T T T"
La 0.020 0.000 1.743
La 2.959 0.000 5.364
La 6.124 0.000 0.249
La 7.610 0.000 8.496
La 10.776 0.000 3.382
La 13.714 0.000 7.002
Nd -0.660 0.000 5.498
Nd 14.395 0.000 3.247
Ge 3.403 0.000 1.956
Ge 6.203 0.000 5.514
Ge 7.532 0.000 3.231
Ge 10.331 0.000 6.790

***

Run b
6
Lattice="3.271 -8.459 0.000 3.271 8.459 0.000 -3.210 0.000 3.271" Properties=species:S:1:pos:R:3 comment="La3NdGe2 PBE optimized geometry" magnetic_moment_mub_per_atom=0.039 pbc="T T T"
La 0.000 0.000 0.000
La 1.666 5.372 1.635
La 1.666 -5.372 1.635
Nd 3.271 0.000 0.000
Ge 1.666 2.257 1.635
Ge 1.666 -2.257 1.635

***

Decreasing stability: run b, run a

***

Run a
4
Lattice="4.365 0.000 0.000 0.000 2.080 5.724 0.000 -2.080 5.724" Properties=species:S:1:pos:R:3 comment="LaNdGePd PBE optimized geometry" magnetic_moment_mub_per_atom=0.000 pbc="T T T"
La 0.000 0.000 0.000
Nd 2.183 0.000 3.148
Ge 0.000 0.000 8.247
Pd 2.183 0.000 6.430

***

Run b
4
Lattice="0.000 3.697 3.697 3.697 0.000 3.697 3.697 3.697 0.000" Properties=species:S:1:pos:R:3 comment="LaNdGePd PBE optimized geometry" magnetic_moment_mub_per_atom=0.000 pbc="T T T"
La 0.000 0.000 0.000
Nd 3.697 3.697 3.697
Ge 5.546 5.546 5.546
Pd 1.849 1.849 1.849

***

Decreasing stability: run a, run b

***

Run a
4
Lattice="0.000 3.691 3.691 3.691 0.000 3.691 3.691 3.691 0.000" Properties=species:S:1:pos:R:3 comment="LaNdGePt PBE optimized geometry" magnetic_moment_mub_per_atom=0.000 pbc="T T T"
La 0.000 0.000 0.000
Nd 3.691 3.691 3.691
Ge 5.537 5.537 5.537
Pt 1.846 1.846 1.846

***

Run b
4
Lattice="4.327 0.000 0.000 0.000 2.090 5.704 0.000 -2.090 5.704" Properties=species:S:1:pos:R:3 comment="LaNdGePt PBE optimized geometry" magnetic_moment_mub_per_atom=0.000 pbc="T T T"
La 0.000 0.000 0.000
Nd 2.163 0.000 3.151
Ge 0.000 0.000 8.180
Pt 2.163 0.000 6.295

***

Decreasing stability: run b, run a

***

Run a
4
Lattice="4.194 0.000 0.000 0.000 2.140 5.555 0.000 -2.140 5.555" Properties=species:S:1:pos:R:3 comment="LaNdGeRh PBE optimized geometry" magnetic_moment_mub_per_atom=0.000 pbc="T T T"
La 0.000 0.000 0.000
Nd 2.097 0.000 8.026
Ge 0.000 0.000 3.222
Rh 2.097 0.000 4.891

***

Run b
4
Lattice="0.000 3.657 3.657 3.657 0.000 3.657 3.657 3.657 0.000" Properties=species:S:1:pos:R:3 comment="LaNdGeRh PBE optimized geometry" magnetic_moment_mub_per_atom=0.000 pbc="T T T"
La 0.000 0.000 0.000
Nd 3.657 3.657 3.657
Ge 5.486 5.486 5.486
Rh 1.829 1.829 1.829

***

Decreasing stability: run a, run b

***

Run a
4
Lattice="4.217 0.000 0.000 0.000 2.194 5.723 0.000 -2.194 5.723" Properties=species:S:1:pos:R:3 comment="LaNdZnGe PBE optimized geometry" magnetic_moment_mub_per_atom=0.029 pbc="T T T"
La 0.000 0.000 0.000
Nd 2.108 0.000 3.271
Zn 2.108 0.000 6.627
Ge 0.000 0.000 8.227

***

Run b
4
Lattice="0.000 3.711 3.711 3.711 0.000 3.711 3.711 3.711 0.000" Properties=species:S:1:pos:R:3 comment="LaNdZnGe PBE optimized geometry" magnetic_moment_mub_per_atom=0.000 pbc="T T T"
La 0.000 0.000 0.000
Nd 3.711 3.711 3.711
Zn 5.567 5.567 5.567
Ge 1.856 1.856 1.856

***

Decreasing stability: run a, run b

***

Run a
12
Lattice="5.318 0.000 0.000 0.000 7.368 0.000 -1.471 0.000 8.509" Properties=species:S:1:pos:R:3 comment="La4NiGe PBE optimized geometry" magnetic_moment_mub_per_atom=0.000 pbc="T T T"
La 0.680 1.842 0.409
La 0.580 5.526 3.196
La 0.710 3.852 6.197
La 0.710 7.200 6.197
La 3.137 0.168 2.312
La 3.137 3.516 2.312
La 3.267 1.842 5.312
La 3.166 5.526 8.100
Ni 1.861 5.526 0.488
Ni 1.985 1.842 8.020
Ge 0.576 1.842 3.539
Ge 3.270 5.526 4.970

***

Run b
12
Lattice="4.511 -7.122 0.000 4.511 7.122 0.000 -3.426 0.000 5.498" Properties=species:S:1:pos:R:3 comment="La4NiGe PBE optimized geometry" magnetic_moment_mub_per_atom=0.000 pbc="T T T"
La 0.275 4.385 5.040
La 0.137 0.889 3.789
La 3.608 4.385 3.207
La 1.849 -0.889 1.040
La 3.747 0.889 4.458
La 1.988 -4.385 2.291
La 5.460 -0.889 1.709
La 5.321 -4.385 0.458
Ni 1.942 7.033 4.123
Ni 3.655 -7.033 1.374
Ge 3.655 1.736 1.374
Ge 1.942 -1.736 4.123

***

Decreasing stability: run b, run a

***

Run a
5
Lattice="5.338 0.000 0.000 0.000 5.338 0.000 0.000 0.000 5.338" Properties=species:S:1:pos:R:3 comment="La3NiGe PBE optimized geometry" magnetic_moment_mub_per_atom=0.000 pbc="T T T"
La 0.000 0.000 2.669
La 0.000 2.669 0.000
La 2.669 0.000 0.000
Ni 0.000 0.000 0.000
Ge 2.669 2.669 2.669

***

Run b
10
Lattice="4.195 0.000 0.000 0.000 9.621 0.000 0.000 0.000 6.843" Properties=species:S:1:pos:R:3 comment="La3NiGe PBE optimized geometry" magnetic_moment_mub_per_atom=0.000 pbc="T T T"
La 1.049 0.506 1.618
La 1.049 2.405 4.707
La 1.049 4.304 1.618
La 3.146 5.317 5.226
La 3.146 7.215 2.136
La 3.146 9.114 5.226
Ni 1.049 7.215 4.175
Ni 3.146 2.405 2.669
Ge 1.049 7.215 6.693
Ge 3.146 2.405 0.151

***

Decreasing stability: run b, run a